1.
MgBrN2O | GGA-PBE | optimized geometry

```
5
Lattice="-0.942 -3.798 1.947 0.314 -2.050 -3.848 3.774 -0.611 0.633" Properties=species:S:1:pos:R:3 pbc="T T T"
Br 1.573 -3.230 -0.633
Mg 0.000 0.000 0.000
N 0.157 -1.025 -1.924
N -0.471 -1.899 0.974
O 1.887 -0.305 0.317
```

Results
The density of states at the Fermi level comes out at 4.91 states/eV per cell. As for the formation energy without anion corrections: 668 kJ/mol of formula units. The value obtained for the total energy is -3.59 eV/atom. The space group is No. 123.

2.
Mn3As | GGA-PBE | optimized geometry

```
4
Lattice="-0.184 4.016 0.436 -1.836 2.256 -2.808 -3.532 1.783 0.832" Properties=species:S:1:pos:R:3 pbc="T T T"
Mn -4.165 6.041 -1.156
Mn -2.776 4.028 -0.770
Mn -1.388 2.014 -0.385
As 0.000 0.000 0.000
```

Results
The density of states at the Fermi level comes out at 2.36 states/eV per cell. The value obtained for the total energy is -8.11 eV/atom. The space group is No. 225.

3.
TaTl4Pb | GGA-PBE | optimized geometry

```
6
Lattice="1.506 -3.994 -4.409 0.840 -5.921 1.379 -4.075 -4.193 -1.864" Properties=species:S:1:pos:R:3 pbc="T T T"
Tl -0.225 -8.257 -1.139
Tl 0.110 -7.289 -4.048
Tl -0.647 -5.281 -1.832
Tl -2.695 -7.389 -2.769
Ta 0.000 0.000 0.000
Pb -1.297 -10.581 -3.671
```

Results
The density of states at the Fermi level comes out at 3.95 states/eV per cell. The value obtained for the total energy is -3.33 eV/atom. The space group is No. 216.